No. 1
Here is ScCd2PRu after structural relaxation from Alexandria via LeMat-Bulk. Energies are from PBE.

## Properties
Space group: P4/mmm (123)
E_form (eV per formula unit): 1.0
E_tot (eV/atom): -4.36

Cell lengths 5.168, 4.349, 5.168 Å; angles 90.00, 90.00, 90.00 degrees
Positions (direct):
Cd 0.500 0.000 0.000
Cd 0.000 0.000 0.500
P 0.000 0.500 0.000
Ru 0.000 0.000 0.000
Sc 0.500 0.500 0.500

No. 2
Here is Ce4ScIn5 after structural relaxation from Alexandria via LeMat-Bulk. Energies are from PBE.

## Properties
Space group: P4/mmm (123)
E_form (eV per formula unit): -3.8
E_tot (eV/atom): -4.75

Cell lengths 3.357, 3.357, 23.034 Å; angles 90.00, 90.00, 90.00 degrees
Positions (direct):
Sc 0.000 0.000 0.000
In 0.500 0.500 0.088
In 0.500 0.500 0.912
In 0.500 0.500 0.500
In 0.500 0.500 0.294
In 0.500 0.500 0.706
Ce 0.000 0.000 0.603
Ce 0.000 0.000 0.809
Ce 0.000 0.000 0.397
Ce 0.000 0.000 0.191

No. 3
Here is Pm2YHo5Sc after structural relaxation from Alexandria via LeMat-Bulk. Energies are from PBE.

## Properties
Space group: I4/mcm (140)
E_form (eV per formula unit): 2.5
E_tot (eV/atom): -4.74

Cell lengths 8.503, 8.503, 9.856 Å; angles 115.55, 115.55, 90.00 degrees
Positions (direct):
Ho 0.351 0.851 0.284
Ho 0.149 0.067 0.716
Ho 0.000 0.000 0.000
Ho 0.933 0.433 0.284
Ho 0.851 0.933 0.284
Ho 0.067 0.567 0.716
Ho 0.433 0.351 0.284
Ho 0.567 0.649 0.716
Ho 0.500 0.500 0.000
Ho 0.649 0.149 0.716
Pm 0.881 0.619 0.000
Pm 0.119 0.381 0.000
Pm 0.619 0.119 0.000
Pm 0.381 0.881 0.000
Sc 0.750 0.250 0.500
Sc 0.250 0.750 0.500
Y 0.750 0.750 0.500
Y 0.250 0.250 0.500

No. 4
Here is CoNi2Se after structural relaxation from Alexandria via LeMat-Bulk. Energies are from PBE.

## Properties
Uncorrected formation energy (eV per atom): 0.141
Space group: P4/mmm (123)
E_tot (eV/atom): -5.40

Cell lengths 3.582, 3.583, 3.780 Å; angles 90.00, 90.00, 90.00 degrees
Positions (direct):
Ni 0.000 0.000 0.000
Ni 0.500 0.500 0.000
Se 0.500 0.000 0.500
Co 0.000 0.500 0.500

No. 5
Here is Pr2CoGe4Pt3 after structural relaxation from Alexandria via LeMat-Bulk. Energies are from PBE.

## Properties
Space group: P-4m2 (115)
E_form (eV per formula unit): -8.4
E_tot (eV/atom): -6.17

Cell lengths 4.308, 4.308, 10.235 Å; angles 90.00, 90.00, 90.00 degrees
Positions (direct):
Pt 0.000 0.000 0.500
Pt 0.000 0.500 0.131
Pt 0.500 0.000 0.869
Ge 0.500 0.500 0.000
Ge 0.000 0.000 0.000
Ge 0.500 0.000 0.624
Ge 0.000 0.500 0.376
Co 0.500 0.500 0.500
Pr 0.500 0.000 0.253
Pr 0.000 0.500 0.747

No. 6
Here is TbNdSmTm3 after structural relaxation from Alexandria via LeMat-Bulk. Energies are from PBE.

## Properties
Space group: Cmcm (63)
E_form (eV per formula unit): 0.7
E_tot (eV/atom): -4.47

Cell lengths 5.838, 6.345, 11.684 Å; angles 90.00, 90.00, 117.39 degrees
Positions (direct):
Tm 0.672 0.343 0.005
Tm 0.170 0.340 0.750
Tm 0.672 0.343 0.495
Tm 0.830 0.660 0.250
Tm 0.328 0.657 0.995
Tm 0.328 0.657 0.505
Nd 0.000 0.000 0.000
Nd 0.000 0.000 0.500
Sm 0.505 0.010 0.750
Sm 0.495 0.990 0.250
Tb 0.176 0.352 0.250
Tb 0.824 0.648 0.750

No. 7
Here is Ti2NbCrRh after structural relaxation from Alexandria via LeMat-Bulk. Energies are from PBE.

## Properties
Space group: P4/mmm (123)
E_form (eV per formula unit): 7.0
E_tot (eV/atom): -7.16

Cell lengths 4.695, 4.634, 4.695 Å; angles 90.00, 90.00, 90.00 degrees
Positions (direct):
Ti 0.500 0.000 0.000
Ti 0.000 0.000 0.500
Cr 0.500 0.500 0.500
Nb 0.000 0.000 0.000
Rh 0.000 0.500 0.000

No. 8
Here is CeSn2Sb3 after structural relaxation from Alexandria via LeMat-Bulk. Energies are from PBE.

## Properties
Uncorrected formation energy (eV per atom): -0.371
Space group: Pmc2_1 (26)
E_tot (eV/atom): -4.76

Cell lengths 4.388, 7.114, 11.366 Å; angles 90.00, 90.00, 90.00 degrees
Positions (direct):
Sn 0.500 0.036 0.462
Sn 0.000 0.970 0.181
Sn 0.500 0.536 0.538
Sn 0.000 0.470 0.819
Sb 0.000 0.765 0.638
Sb 0.500 0.718 0.960
Sb 0.500 0.697 0.289
Sb 0.500 0.197 0.711
Sb 0.500 0.218 0.040
Sb 0.000 0.265 0.362
Ce 0.000 0.016 0.884
Ce 0.000 0.516 0.116

No. 9
Here is K3PdRh2Se6 after structural relaxation from Alexandria via LeMat-Bulk. Energies are from PBE.

## Properties
Uncorrected formation energy (eV per atom): -0.657
Space group: C2/m (12)
E_tot (eV/atom): -4.33

Cell lengths 6.828, 6.828, 7.472 Å; angles 98.76, 98.76, 120.00 degrees
Positions (direct):
Se 0.396 0.056 0.169
Se 0.284 0.284 0.831
Se 0.056 0.396 0.169
Se 0.716 0.716 0.169
Se 0.604 0.944 0.831
Se 0.944 0.604 0.831
Pd 0.000 0.000 0.000
Rh 0.667 0.333 0.000
Rh 0.333 0.667 0.000
K 0.836 0.164 0.500
K 0.164 0.836 0.500
K 0.500 0.500 0.500

No. 10
Here is LaNdRuPt after structural relaxation from Alexandria via LeMat-Bulk. Energies are from PBE.

## Properties
Space group: F-43m (216)
E_form (eV per formula unit): -2.2
E_tot (eV/atom): -6.81

Cell lengths 5.076, 5.076, 5.076 Å; angles 60.00, 60.00, 60.00 degrees
Positions (direct):
La 0.000 0.000 0.000
Nd 0.500 0.500 0.500
Pt 0.750 0.750 0.750
Ru 0.250 0.250 0.250

No. 11
Here is LiPaIrPb after structural relaxation from Alexandria via LeMat-Bulk. Energies are from PBE.

## Properties
Space group: F-43m (216)
E_form (eV per formula unit): -1.1
E_tot (eV/atom): -6.27

Cell lengths 4.831, 4.831, 4.831 Å; angles 60.00, 60.00, 60.00 degrees
Positions (direct):
Pb 0.250 0.250 0.250
Ir 0.500 0.500 0.500
Li 0.000 0.000 0.000
Pa 0.750 0.750 0.750

No. 12
Here is ZrZn2Sb after structural relaxation from Alexandria via LeMat-Bulk. Energies are from PBE.

## Properties
Uncorrected formation energy (eV per atom): -0.023
Space group: I-42d (122)
E_tot (eV/atom): -3.83

Cell lengths 7.712, 7.712, 6.143 Å; angles 51.12, 51.12, 90.00 degrees
Positions (direct):
Zn 0.375 0.364 0.750
Zn 0.114 0.625 0.250
Zn 0.636 0.125 0.250
Zn 0.875 0.886 0.750
Zr 0.250 0.750 0.500
Zr 0.500 0.500 0.000
Sb 0.000 0.000 0.000
Sb 0.750 0.250 0.500

Look up the E_tot of the sixth one. -4.47 eV/atom